## RbLaMoPd (PBE)

Data for an optimized crystal structure of RbLaMoPd.

Space group ... Pm (6)
ΔE to the lowest computed polymorph ... 0.215 eV/f.u.
Magnetization ... 0.00 μB/cell
Density of states at the Fermi level ... 4.19 states/eV per cell

```
4
Lattice="-2.711 1.238 -1.402 -1.697 -3.911 -0.171 -2.514 0.698 8.981" Properties=species:S:1:pos:R:3 pbc="T T T"
Rb -1.916 0.684 3.371
La -5.559 -0.190 6.286
Mo -3.312 -0.883 -0.169
Pd -1.113 0.484 -0.027
```